Record 1
Density functional theory data (PBE) for crystalline MgV2H at its relaxed geometry.

extended XYZ file:
```
8
Lattice="5.387 0.000 0.000 0.000 5.387 0.000 2.694 2.694 3.807" Properties=species:S:1:pos:R:3 pbc="T T T"
V 2.693 1.347 0.952
V 2.694 4.040 0.952
V 6.734 5.387 2.855
V 4.040 5.388 2.855
H 2.694 2.694 0.000
H 2.694 5.387 1.904
Mg 0.000 0.000 0.000
Mg 5.387 2.694 1.904
```

Output
M_tot: 0.0 μB/f.u.
E: -5.53 eV per atom
Crystal system: cubic
Energy above the most stable polymorph in this dataset: 0 meV/atom
V: 110.5 Å³/cell
ρ: 3.8 g/cm³
D(E_F): 0.98 states/eV per atom

Record 2
Density functional theory data (PBE) for crystalline MgVH at its relaxed geometry.

extended XYZ file:
```
6
Lattice="-1.937 1.210 -1.911 -0.913 -0.859 2.701 2.536 10.863 4.310" Properties=species:S:1:pos:R:3 pbc="T T T"
H 0.306 8.668 2.859
H -0.620 2.547 2.241
V 0.000 0.000 0.000
V 1.268 5.432 2.155
Mg 0.634 2.716 1.078
Mg 1.902 8.147 3.233
```

Output
M_tot: 2.4 μB/f.u.
E: -3.80 eV per atom
Crystal system: hexagonal
Energy above the most stable polymorph in this dataset: 918 meV/atom
V: 91.8 Å³/cell
ρ: 2.8 g/cm³
D(E_F): 0.70 states/eV per atom